A plane-wave DFT calculation with PBE was carried out for a relaxed Tm2Cu crystal.

Lattice parameters (Å, degrees): 8.5316 8.5316 8.5316 90.00 90.00 90.00
Space group Fd-3m (No. 227, origin choice 2)
Inequivalent atoms, fractional coordinates:
Tm 0.0000 0.0000 0.0000 x16
Cu 0.1250 0.1250 0.6250 x8

total moment	0.00	μB per atom
energy relative to the elements	725	meV/atom